The following is a DFT calculation (PBE with a Hubbard U) of Li3MnCoO5 after structural relaxation.

Computed properties:
SG: C2/m
E above lowest polymorph (meV/atom): 32
Calculated density (g/cm3): 4.02

a = 7.686 Å, b = 7.686 Å, c = 5.121 Å
α = 83.54°, β = 83.54°, γ = 141.39°
Each line ends with the local moment (μB).
Element x y z (fractional)
1 O 0.038 0.429 0.773  0.17
2 O 0.220 0.220 0.772  -0.04
3 O 0.654 0.863 0.777  0.15
4 O 0.780 0.780 0.228  -0.04
5 O 0.429 0.038 0.773  0.17
6 O 0.571 0.962 0.227  0.17
7 O 0.346 0.137 0.223  0.15
8 O 0.962 0.571 0.227  0.17
9 O 0.137 0.346 0.223  0.15
10 O 0.863 0.654 0.777  0.15
11 Li 0.500 0.500 0.000  0.01
12 Li 0.597 0.403 0.500  0.00
13 Li 0.403 0.597 0.500  0.00
14 Li 0.000 0.000 0.500  0.02
15 Li 0.801 0.199 0.500  0.01
16 Li 0.199 0.801 0.500  0.01
17 Mn 0.901 0.099 0.000  3.14
18 Mn 0.099 0.901 0.000  3.14
19 Co 0.696 0.304 0.000  3.07
20 Co 0.304 0.696 0.000  3.07